The following is a PBE-GGA calculation of crystalline Gd2Dy3HoFeTe2 at its relaxed geometry, from OQMD.

The calculation puts the volume at 238.7 Å³/f.u. Its symmetry is Amm2, No. 38. As for the raw total energy: -5.32 eV/atom.

abc: 3.968 8.356 8.356
angles: 120.50 90.00 90.00
Sites, in units of the cell vectors:
Dy 0.500 0.998 0.233
Dy 0.500 0.767 0.767
Dy 0.500 0.233 0.998
Fe 0.000 0.010 0.010
Gd 0.000 0.600 0.001
Gd 0.000 0.001 0.600
Ho 0.000 0.393 0.393
Te 0.500 0.664 0.334
Te 0.500 0.334 0.664

---

The following is a PBE-GGA calculation of crystalline GdDyMg3Fe2 at its relaxed geometry, from OQMD.

The calculation puts the volume at 153.3 Å³/f.u. Its symmetry is Amm2, No. 38. As for the raw total energy: -4.38 eV/atom.

abc: 3.711 10.754 10.754
angles: 20.93 90.00 90.00
Each line ends with the local moment (μB).
Sites, in units of the cell vectors:
Dy 0.000 0.327 0.327  -0.31
Fe 0.500 0.220 0.220  1.79
Fe 0.500 0.782 0.782  1.81
Gd 0.000 0.673 0.673  -0.29
Mg 0.500 0.079 0.079  -0.01
Mg 0.000 0.500 0.500  -0.01
Mg 0.500 0.920 0.920  -0.01

---

The following is a PBE-GGA calculation of crystalline Gd2DyFe6Ni3 at its relaxed geometry, from OQMD.

The value obtained for the formation enthalpy at 0 K is -0.127 eV per atom. The calculation puts the volume at 179.3 Å³/f.u. Its symmetry is R-3m, No. 166. As for the raw total energy: -6.83 eV/atom.

abc: 8.785 8.785 8.785
angles: 33.03 33.03 33.03
Each line ends with the local moment (μB).
Sites, in units of the cell vectors:
Dy 0.000 0.000 0.000  -0.39
Fe 0.581 0.581 0.081  2.24
Fe 0.919 0.419 0.419  2.21
Fe 0.419 0.919 0.419  2.25
Fe 0.581 0.081 0.581  2.25
Fe 0.081 0.581 0.581  2.21
Fe 0.419 0.419 0.919  2.24
Gd 0.142 0.142 0.142  -0.43
Gd 0.858 0.858 0.858  -0.43
Ni 0.333 0.333 0.333  0.44
Ni 0.500 0.500 0.500  0.43
Ni 0.667 0.667 0.667  0.44

---

The following is a PBE-GGA calculation of crystalline GdDy2Fe6Ni3 at its relaxed geometry, from OQMD.

The value obtained for the formation enthalpy at 0 K is -0.146 eV per atom. The calculation puts the volume at 179.4 Å³/f.u. Its symmetry is R-3m, No. 166. As for the raw total energy: -6.85 eV/atom.

abc: 8.775 8.775 8.775
angles: 33.11 33.11 33.11
Each line ends with the local moment (μB).
Sites, in units of the cell vectors:
Dy 0.142 0.142 0.142  -0.47
Dy 0.858 0.858 0.858  -0.47
Fe 0.582 0.582 0.081  2.25
Fe 0.919 0.418 0.418  2.23
Fe 0.418 0.919 0.418  2.27
Fe 0.582 0.081 0.582  2.27
Fe 0.081 0.582 0.582  2.23
Fe 0.418 0.418 0.919  2.25
Gd 0.000 0.000 0.000  -0.36
Ni 0.333 0.333 0.333  0.44
Ni 0.500 0.500 0.500  0.45
Ni 0.667 0.667 0.667  0.44

---

The following is a PBE-GGA calculation of crystalline Gd2DyFe8Ni at its relaxed geometry, from OQMD.

The value obtained for the formation enthalpy at 0 K is -0.087 eV per atom. The calculation puts the volume at 181.2 Å³/f.u. Its symmetry is R-3m, No. 166. As for the raw total energy: -7.25 eV/atom.

abc: 8.662 8.662 8.662
angles: 34.00 34.00 34.00
Each line ends with the local moment (μB).
Sites, in units of the cell vectors:
Dy 0.000 0.000 0.000  -0.46
Fe 0.581 0.581 0.080  2.19
Fe 0.333 0.333 0.333  2.33
Fe 0.920 0.419 0.419  2.16
Fe 0.419 0.920 0.419  2.27
Fe 0.581 0.080 0.581  2.27
Fe 0.080 0.581 0.581  2.16
Fe 0.667 0.667 0.667  2.33
Fe 0.419 0.419 0.920  2.19
Gd 0.142 0.142 0.142  -0.42
Gd 0.858 0.858 0.858  -0.42
Ni 0.500 0.500 0.500  0.48

---

The following is a PBE-GGA calculation of crystalline GdDy2Fe3Ni6 at its relaxed geometry, from OQMD.

The value obtained for the formation enthalpy at 0 K is -0.282 eV per atom. The calculation puts the volume at 176.5 Å³/f.u. Its symmetry is R-3m, No. 166. As for the raw total energy: -6.30 eV/atom.

abc: 8.526 8.526 8.526
angles: 34.40 34.40 34.40
Each line ends with the local moment (μB).
Sites, in units of the cell vectors:
Dy 0.139 0.139 0.139  -0.25
Dy 0.861 0.861 0.861  -0.25
Fe 0.333 0.333 0.333  2.53
Fe 0.500 0.500 0.500  2.33
Fe 0.667 0.667 0.667  2.53
Gd 0.000 0.000 0.000  -0.16
Ni 0.583 0.583 0.082  0.35
Ni 0.918 0.417 0.417  0.34
Ni 0.417 0.918 0.417  0.35
Ni 0.583 0.082 0.583  0.35
Ni 0.082 0.583 0.583  0.34
Ni 0.417 0.417 0.918  0.35

---

The following is a PBE-GGA calculation of crystalline GdDy2Fe2Ni7 at its relaxed geometry, from OQMD.

The value obtained for the formation enthalpy at 0 K is -0.340 eV per atom. The calculation puts the volume at 175.2 Å³/f.u. Its symmetry is R-3m, No. 166. As for the raw total energy: -6.13 eV/atom.

abc: 8.581 8.581 8.581
angles: 33.90 33.90 33.90
Each line ends with the local moment (μB).
Sites, in units of the cell vectors:
Dy 0.139 0.139 0.139  -0.15
Dy 0.861 0.861 0.861  -0.15
Fe 0.333 0.333 0.333  2.49
Fe 0.667 0.667 0.667  2.49
Gd 0.000 0.000 0.000  -0.15
Ni 0.581 0.581 0.082  0.28
Ni 0.918 0.419 0.419  0.27
Ni 0.419 0.918 0.419  0.27
Ni 0.500 0.500 0.500  0.04
Ni 0.581 0.082 0.581  0.27
Ni 0.082 0.581 0.581  0.27
Ni 0.419 0.419 0.918  0.28

---

The following is a PBE-GGA calculation of crystalline Gd2DyFe3Ni6 at its relaxed geometry, from OQMD.

The value obtained for the formation enthalpy at 0 K is -0.267 eV per atom. The calculation puts the volume at 177.3 Å³/f.u. Its symmetry is R-3m, No. 166. As for the raw total energy: -6.29 eV/atom.

abc: 8.556 8.556 8.556
angles: 34.29 34.29 34.29
Each line ends with the local moment (μB).
Sites, in units of the cell vectors:
Dy 0.000 0.000 0.000  -0.16
Fe 0.333 0.333 0.333  2.54
Fe 0.500 0.500 0.500  2.31
Fe 0.667 0.667 0.667  2.54
Gd 0.139 0.139 0.139  -0.24
Gd 0.861 0.861 0.861  -0.24
Ni 0.581 0.581 0.083  0.35
Ni 0.917 0.419 0.419  0.34
Ni 0.419 0.917 0.419  0.36
Ni 0.581 0.083 0.581  0.36
Ni 0.083 0.581 0.581  0.34
Ni 0.419 0.419 0.917  0.35

---

The following is a PBE-GGA calculation of crystalline GdDy2FeNi8 at its relaxed geometry, from OQMD.

The value obtained for the formation enthalpy at 0 K is -0.346 eV per atom. The calculation puts the volume at 172.8 Å³/f.u. Its symmetry is R-3m, No. 166. As for the raw total energy: -5.90 eV/atom.

abc: 8.574 8.574 8.574
angles: 33.70 33.70 33.70
Each line ends with the local moment (μB).
Sites, in units of the cell vectors:
Dy 0.140 0.140 0.140  -0.18
Dy 0.860 0.860 0.860  -0.18
Fe 0.500 0.500 0.500  2.21
Gd 0.000 0.000 0.000  -0.06
Ni 0.583 0.583 0.084  0.18
Ni 0.333 0.333 0.333  0.07
Ni 0.916 0.417 0.417  0.20
Ni 0.417 0.916 0.417  0.21
Ni 0.583 0.084 0.583  0.21
Ni 0.084 0.583 0.583  0.20
Ni 0.667 0.667 0.667  0.07
Ni 0.417 0.417 0.916  0.18

---

The following is a PBE-GGA calculation of crystalline Gd2DyFe2Ni7 at its relaxed geometry, from OQMD.

The value obtained for the formation enthalpy at 0 K is -0.331 eV per atom. The calculation puts the volume at 176.3 Å³/f.u. Its symmetry is R-3m, No. 166. As for the raw total energy: -6.12 eV/atom.

abc: 8.618 8.618 8.618
angles: 33.78 33.78 33.78
Each line ends with the local moment (μB).
Sites, in units of the cell vectors:
Dy 0.000 0.000 0.000  -0.17
Fe 0.332 0.332 0.332  2.49
Fe 0.668 0.668 0.668  2.49
Gd 0.139 0.139 0.139  -0.14
Gd 0.861 0.861 0.861  -0.14
Ni 0.580 0.580 0.082  0.28
Ni 0.918 0.420 0.420  0.27
Ni 0.420 0.918 0.420  0.28
Ni 0.500 0.500 0.500  0.03
Ni 0.580 0.082 0.580  0.28
Ni 0.082 0.580 0.580  0.27
Ni 0.420 0.420 0.918  0.28

---

The following is a PBE-GGA calculation of crystalline GdDyFe2Pb at its relaxed geometry, from OQMD.

The calculation puts the volume at 107.6 Å³/f.u. Its symmetry is Amm2, No. 38. As for the raw total energy: -6.11 eV/atom.

abc: 3.846 7.418 7.418
angles: 30.56 90.00 90.00
Each line ends with the local moment (μB).
Sites, in units of the cell vectors:
Dy 0.500 0.362 0.362  -0.26
Fe 0.000 0.207 0.207  1.85
Fe 0.000 0.795 0.795  1.86
Gd 0.500 0.638 0.638  -0.24
Pb 0.000 0.999 0.999  -0.03

---

The following is a PBE-GGA calculation of crystalline GdDyFe2Si2 at its relaxed geometry, from OQMD.

The calculation puts the volume at 106.1 Å³/f.u. Its symmetry is P4mm, No. 99. As for the raw total energy: -6.75 eV/atom.

abc: 4.033 4.033 6.520
angles: 90.00 90.00 90.00
Sites, in units of the cell vectors:
Dy 0.000 0.000 0.314
Fe 0.500 0.000 0.002
Fe 0.000 0.500 0.002
Gd 0.500 0.500 0.681
Si 0.500 0.500 0.179
Si 0.000 0.000 0.823

---

Q: What is the formula in the fifth record?
A: Gd2DyFe8Ni

---

Copy entry 3 word for word.
The following is a PBE-GGA calculation of crystalline Gd2DyFe6Ni3 at its relaxed geometry, from OQMD.

The value obtained for the formation enthalpy at 0 K is -0.127 eV per atom. The calculation puts the volume at 179.3 Å³/f.u. Its symmetry is R-3m, No. 166. As for the raw total energy: -6.83 eV/atom.

abc: 8.785 8.785 8.785
angles: 33.03 33.03 33.03
Each line ends with the local moment (μB).
Sites, in units of the cell vectors:
Dy 0.000 0.000 0.000  -0.39
Fe 0.581 0.581 0.081  2.24
Fe 0.919 0.419 0.419  2.21
Fe 0.419 0.919 0.419  2.25
Fe 0.581 0.081 0.581  2.25
Fe 0.081 0.581 0.581  2.21
Fe 0.419 0.419 0.919  2.24
Gd 0.142 0.142 0.142  -0.43
Gd 0.858 0.858 0.858  -0.43
Ni 0.333 0.333 0.333  0.44
Ni 0.500 0.500 0.500  0.43
Ni 0.667 0.667 0.667  0.44